(1)
Here is a geometry-optimized BaInSe2N structure from Alexandria via LeMat-Bulk. Energies are from GGA-PBE. Values from VASP.

```
&SYSTEM
  ibrav = 0, nat = 5, ntyp = 4
/
ATOMIC_SPECIES
Ba 137.33 Ba.upf
In 114.82 In.upf
Se 78.96 Se.upf
N 14.01 N.upf
CELL_PARAMETERS angstrom
6.233 0.000 0.000
0.000 6.233 0.000
0.000 0.000 5.308
ATOMIC_POSITIONS crystal
Ba 0.000 0.000 0.000
In 0.500 0.500 0.500
Se 0.000 0.500 0.000
Se 0.500 0.000 0.000
N 0.000 0.000 0.500
```

- magnetization (μB per formula unit) = 4.01
- energy above the most stable polymorph in this dataset (meV/atom) = 878
- Fermi-level density of states (states/eV per cell) = 5.50
- energy (eV for the cell shown) = -17.04

***

(2)
Here is a geometry-optimized BaBeW2 structure from Alexandria via LeMat-Bulk. Energies are from GGA-PBE. Values from VASP.

```
&SYSTEM
  ibrav = 0, nat = 8, ntyp = 3
/
ATOMIC_SPECIES
Ba 137.33 Ba.upf
Be 9.01 Be.upf
W 183.84 W.upf
CELL_PARAMETERS angstrom
5.590 0.000 0.000
0.000 10.222 0.000
0.000 0.000 2.798
ATOMIC_POSITIONS crystal
Ba 0.000 0.000 0.000
Ba 0.500 0.500 0.000
Be 0.000 0.500 0.000
Be 0.500 0.000 0.000
W 0.250 0.250 0.500
W 0.250 0.750 0.500
W 0.750 0.250 0.500
W 0.750 0.750 0.500
```

- magnetization (μB per formula unit) = 0.00
- Fermi-level density of states (states/eV per cell) = 6.26
- energy (eV for the cell shown) = -49.44
- ΔE_f (eV/atom) = 1.7085

***

(3)
Here is a geometry-optimized NaAcTlSn structure from Alexandria via LeMat-Bulk. Energies are from GGA-PBE. Values from VASP.

```
&SYSTEM
  ibrav = 0, nat = 16, ntyp = 4
/
ATOMIC_SPECIES
Na 22.99 Na.upf
Ac 227.00 Ac.upf
Tl 204.38 Tl.upf
Sn 118.71 Sn.upf
CELL_PARAMETERS angstrom
7.962 0.000 0.000
0.000 7.962 0.000
0.000 0.000 7.962
ATOMIC_POSITIONS crystal
Na 0.000 0.000 0.000
Na 0.000 0.500 0.500
Na 0.500 0.000 0.500
Na 0.500 0.500 0.000
Ac 0.000 0.000 0.500
Ac 0.000 0.500 0.000
Ac 0.500 0.000 0.000
Ac 0.500 0.500 0.500
Tl 0.250 0.250 0.750
Tl 0.250 0.750 0.250
Tl 0.750 0.250 0.250
Tl 0.750 0.750 0.750
Sn 0.250 0.250 0.250
Sn 0.250 0.750 0.750
Sn 0.750 0.250 0.750
Sn 0.750 0.750 0.250
```

- magnetization (μB per formula unit) = 0.00
- Fermi-level density of states (states/eV per cell) = 12.30
- energy (eV for the cell shown) = -52.72
- ΔE_f (eV/atom) = -0.3456

***

(4)
Here is a geometry-optimized Tc2NiCl structure from Alexandria via LeMat-Bulk. Energies are from GGA-PBE. Values from VASP.

```
&SYSTEM
  ibrav = 0, nat = 4, ntyp = 3
/
ATOMIC_SPECIES
Tc 98.00 Tc.upf
Ni 58.69 Ni.upf
Cl 35.45 Cl.upf
CELL_PARAMETERS angstrom
2.779 0.000 0.000
0.000 4.521 0.000
0.000 0.000 4.572
ATOMIC_POSITIONS crystal
Tc 0.000 0.000 0.000
Tc 0.500 0.000 0.500
Ni 0.000 0.500 0.500
Cl 0.500 0.500 0.000
```

- magnetization (μB per formula unit) = 0.00
- energy above the most stable polymorph in this dataset (meV/atom) = 551
- Fermi-level density of states (states/eV per cell) = 5.24
- energy (eV for the cell shown) = -25.18

***

What did the third record say?
Here is a geometry-optimized NaAcTlSn structure from Alexandria via LeMat-Bulk. Energies are from GGA-PBE. Values from VASP.

```
&SYSTEM
  ibrav = 0, nat = 16, ntyp = 4
/
ATOMIC_SPECIES
Na 22.99 Na.upf
Ac 227.00 Ac.upf
Tl 204.38 Tl.upf
Sn 118.71 Sn.upf
CELL_PARAMETERS angstrom
7.962 0.000 0.000
0.000 7.962 0.000
0.000 0.000 7.962
ATOMIC_POSITIONS crystal
Na 0.000 0.000 0.000
Na 0.000 0.500 0.500
Na 0.500 0.000 0.500
Na 0.500 0.500 0.000
Ac 0.000 0.000 0.500
Ac 0.000 0.500 0.000
Ac 0.500 0.000 0.000
Ac 0.500 0.500 0.500
Tl 0.250 0.250 0.750
Tl 0.250 0.750 0.250
Tl 0.750 0.250 0.250
Tl 0.750 0.750 0.750
Sn 0.250 0.250 0.250
Sn 0.250 0.750 0.750
Sn 0.750 0.250 0.750
Sn 0.750 0.750 0.250
```

- magnetization (μB per formula unit) = 0.00
- Fermi-level density of states (states/eV per cell) = 12.30
- energy (eV for the cell shown) = -52.72
- ΔE_f (eV/atom) = -0.3456

***

Q: Which formula does entry 2 have?
A: BaBeW2